A plane-wave DFT calculation with GGA-PBE was carried out for an optimized crystal structure of HfZnAgHg.

Lattice parameters (Å, degrees): 4.733 4.733 4.733 60.00 60.00 60.00
Fractional positions:
Hf: 0.000 0.000 0.000
Zn: 0.500 0.500 0.500
Ag: 0.250 0.250 0.250
Hg: 0.750 0.750 0.750

Values from the calculation:
- space-group type = F-43m, No. 216
- N(E_F) (states/eV per atom) = 0.6156
- E (eV/atom) = -3.560
- M_tot (μB/atom) = 0.0000